No. 1
# HfAgB

A relaxed structure of HfAgB (PBE, Alexandria).

Cell lengths 6.1880, 6.1880, 5.0849 Å; angles 97.46, 97.46, 29.46 degrees
Positions (direct):
Hf1 0.0000 0.0000 0.0000
Hf2 0.6358 0.6358 0.5915
Ag1 0.2922 0.2922 0.9671
Ag2 0.3883 0.3883 0.4992
B1 0.1771 0.1771 0.2784
B2 0.6495 0.6495 0.1278

ΔH_f (0 K) in meV/atom: -69
DOS(E_F) in states/eV/atom: 0.61
Symmetry: No. 8
Calculated volume in Å³ per cell: 94.9
Total moment in μB/atom: 0.000


No. 2
# HfAgB

A relaxed structure of HfAgB (PBE, Alexandria).

Cell lengths 8.4555, 3.7883, 5.9479 Å; angles 90.00, 90.00, 90.00 degrees
Positions (direct):
Hf1 0.1311 0.2500 0.1004
Hf2 0.3689 0.7500 0.6004
Hf3 0.6311 0.2500 0.3996
Hf4 0.8689 0.7500 0.8996
Ag1 0.1028 0.2500 0.6073
Ag2 0.3972 0.7500 0.1073
Ag3 0.6028 0.2500 0.8927
Ag4 0.8972 0.7500 0.3927
B1 0.1477 0.7500 0.8623
B2 0.3523 0.2500 0.3623
B3 0.6477 0.7500 0.6377
B4 0.8523 0.2500 0.1377

ΔH_f (0 K) in meV/atom: -5
DOS(E_F) in states/eV/atom: 0.00
Symmetry: No. 62
Calculated volume in Å³ per cell: 190.5
Total moment in μB/atom: 0.000


No. 3
# HfAgB

A relaxed structure of HfAgB (PBE, Alexandria).

Cell lengths 4.4336, 4.4336, 5.2537 Å; angles 90.00, 90.00, 120.00 degrees
Positions (direct):
Hf1 0.3333 0.6667 0.2500
Hf2 0.6667 0.3333 0.7500
Ag1 0.0000 0.0000 0.0000
Ag2 0.0000 0.0000 0.5000
B1 0.3333 0.6667 0.7500
B2 0.6667 0.3333 0.2500

ΔH_f (0 K) in meV/atom: 174
DOS(E_F) in states/eV/atom: 0.15
Symmetry: No. 194
Calculated volume in Å³ per cell: 89.4
Total moment in μB/atom: 0.000


No. 4
# HfAg2B

A relaxed structure of HfAg2B (PBE, Alexandria).

Cell lengths 10.4246, 10.4246, 10.4246 Å; angles 159.75, 159.75, 28.80 degrees
Positions (direct):
Hf1 0.0000 0.0000 0.0000
Hf2 0.7500 0.2500 0.5000
Ag1 0.1325 0.6250 0.0075
Ag2 0.3750 0.3825 0.5075
Ag3 0.6175 0.1250 0.9925
Ag4 0.8750 0.8675 0.4925
B1 0.2500 0.7500 0.5000
B2 0.5000 0.5000 0.0000

ΔH_f (0 K) in meV/atom: 481
DOS(E_F) in states/eV/atom: 0.53
Symmetry: No. 122
Calculated volume in Å³ per cell: 135.7
Total moment in μB/atom: 0.000


No. 5
# HfAgB

A relaxed structure of HfAgB (PBE, Alexandria).

Cell lengths 5.8071, 2.9967, 10.9202 Å; angles 90.00, 90.00, 90.00 degrees
Positions (direct):
Hf1 0.1443 0.2500 0.1415
Hf2 0.3557 0.7500 0.6415
Hf3 0.6443 0.2500 0.3585
Hf4 0.8557 0.7500 0.8585
Ag1 0.1526 0.2500 0.4198
Ag2 0.3474 0.7500 0.9198
Ag3 0.6526 0.2500 0.0802
Ag4 0.8474 0.7500 0.5802
B1 0.1048 0.2500 0.7508
B2 0.3952 0.7500 0.2508
B3 0.6048 0.2500 0.7492
B4 0.8952 0.7500 0.2492

ΔH_f (0 K) in meV/atom: 225
DOS(E_F) in states/eV/atom: 0.36
Symmetry: No. 62
Calculated volume in Å³ per cell: 190.0
Total moment in μB/atom: 0.000


No. 6
# Hf2Ag2B

A relaxed structure of Hf2Ag2B (PBE, Alexandria).

Cell lengths 6.0704, 6.0704, 4.7436 Å; angles 90.00, 90.00, 90.00 degrees
Positions (direct):
Hf1 0.1708 0.3292 0.0000
Hf2 0.3292 0.8292 0.0000
Hf3 0.6708 0.1708 0.0000
Hf4 0.8292 0.6708 0.0000
Ag1 0.1606 0.6606 0.5000
Ag2 0.3394 0.1606 0.5000
Ag3 0.6606 0.8394 0.5000
Ag4 0.8394 0.3394 0.5000
B1 0.0000 0.0000 0.5000
B2 0.5000 0.5000 0.5000

ΔH_f (0 K) in meV/atom: 464
DOS(E_F) in states/eV/atom: 0.76
Symmetry: No. 127
Calculated volume in Å³ per cell: 174.8
Total moment in μB/atom: 0.000


No. 7
# HfAgB

A relaxed structure of HfAgB (PBE, Alexandria).

Cell lengths 4.8641, 4.8641, 6.9277 Å; angles 123.21, 123.21, 41.35 degrees
Positions (direct):
Hf1 0.0716 0.0716 0.3313
Hf2 0.9284 0.9284 0.6687
Ag1 0.3124 0.3124 0.8960
Ag2 0.6876 0.6876 0.1040
B1 0.3866 0.3866 0.3995
B2 0.6134 0.6134 0.6005

ΔH_f (0 K) in meV/atom: -251
DOS(E_F) in states/eV/atom: 0.28
Symmetry: No. 12
Calculated volume in Å³ per cell: 87.8
Total moment in μB/atom: 0.000


No. 8
# HfAgB2

A relaxed structure of HfAgB2 (PBE, Alexandria).

Cell lengths 7.8461, 7.8461, 7.8461 Å; angles 150.80, 150.80, 41.76 degrees
Positions (direct):
Hf1 0.0000 0.0000 0.0000
Hf2 0.7500 0.2500 0.5000
Ag1 0.2500 0.7500 0.5000
Ag2 0.5000 0.5000 0.0000
B1 0.3043 0.6250 0.1793
B2 0.3750 0.5543 0.6793
B3 0.4457 0.1250 0.8207
B4 0.8750 0.6957 0.3207

ΔH_f (0 K) in meV/atom: 745
DOS(E_F) in states/eV/atom: 0.40
Symmetry: No. 122
Calculated volume in Å³ per cell: 114.7
Total moment in μB/atom: 0.000


No. 9
# Hf2AgB2

A relaxed structure of Hf2AgB2 (PBE, Alexandria).

Cell lengths 6.3778, 6.3778, 3.4123 Å; angles 90.00, 90.00, 90.00 degrees
Positions (direct):
Hf1 0.1787 0.3213 0.0000
Hf2 0.3213 0.8213 0.0000
Hf3 0.6787 0.1787 0.0000
Hf4 0.8213 0.6787 0.0000
Ag1 0.0000 0.0000 0.5000
Ag2 0.5000 0.5000 0.5000
B1 0.0952 0.5952 0.5000
B2 0.4048 0.0952 0.5000
B3 0.5952 0.9048 0.5000
B4 0.9048 0.4048 0.5000

ΔH_f (0 K) in meV/atom: -425
DOS(E_F) in states/eV/atom: 0.57
Symmetry: No. 127
Calculated volume in Å³ per cell: 138.8
Total moment in μB/atom: 0.000


No. 10
# HfAgB

A relaxed structure of HfAgB (PBE, Alexandria).

Cell lengths 7.7463, 7.7463, 3.1911 Å; angles 90.00, 90.00, 153.43 degrees
Positions (direct):
Hf1 0.0863 0.9137 0.7500
Hf2 0.9137 0.0863 0.2500
Ag1 0.2991 0.7009 0.7500
Ag2 0.7009 0.2991 0.2500
B1 0.4718 0.5282 0.7500
B2 0.5282 0.4718 0.2500

ΔH_f (0 K) in meV/atom: -498
DOS(E_F) in states/eV/atom: 0.34
Symmetry: No. 63
Calculated volume in Å³ per cell: 85.6
Total moment in μB/atom: 0.000


No. 11
# HfAg3B

A relaxed structure of HfAg3B (PBE, Alexandria).

Cell lengths 5.2834, 5.2834, 5.2834 Å; angles 90.00, 90.00, 90.00 degrees
Positions (direct):
Hf1 0.0000 0.0000 0.0000
Ag1 0.0000 0.0000 0.5000
Ag2 0.0000 0.5000 0.0000
Ag3 0.5000 0.0000 0.0000
B1 0.5000 0.5000 0.5000

ΔH_f (0 K) in meV/atom: 2089
DOS(E_F) in states/eV/atom: 1.03
Symmetry: No. 221
Calculated volume in Å³ per cell: 147.5
Total moment in μB/atom: 0.000


No. 12
# HfAgB

A relaxed structure of HfAgB (PBE, Alexandria).

Cell lengths 4.7863, 4.7863, 6.7579 Å; angles 95.33, 95.33, 37.54 degrees
Positions (direct):
Hf1 0.0000 0.0000 0.0000
Hf2 0.2248 0.2248 0.6574
Ag1 0.4808 0.4808 0.4614
Ag2 0.7407 0.7407 0.2790
B1 0.2943 0.2943 0.0031
B2 0.7241 0.7241 0.9327

ΔH_f (0 K) in meV/atom: -121
DOS(E_F) in states/eV/atom: 0.58
Symmetry: No. 8
Calculated volume in Å³ per cell: 93.9
Total moment in μB/atom: 0.000


No. 13
# HfAgB

A relaxed structure of HfAgB (PBE, Alexandria).

Cell lengths 4.5802, 4.5802, 8.1682 Å; angles 114.73, 114.73, 39.67 degrees
Positions (direct):
Hf1 0.0000 0.0000 0.0000
Hf2 0.1228 0.1228 0.6619
Ag1 0.3552 0.3552 0.1922
Ag2 0.7073 0.7073 0.3758
B1 0.4358 0.4358 0.7438
B2 0.8432 0.8432 0.6864

ΔH_f (0 K) in meV/atom: -91
DOS(E_F) in states/eV/atom: 0.42
Symmetry: No. 8
Calculated volume in Å³ per cell: 98.0
Total moment in μB/atom: 0.000


No. 14
# HfAgB

A relaxed structure of HfAgB (PBE, Alexandria).

Cell lengths 4.2697, 4.2697, 4.2697 Å; angles 60.00, 60.00, 60.00 degrees
Positions (direct):
Hf1 0.0000 0.0000 0.0000
Ag1 0.7500 0.7500 0.7500
B1 0.2500 0.2500 0.2500

ΔH_f (0 K) in meV/atom: 910
DOS(E_F) in states/eV/atom: 0.62
Symmetry: No. 216
Calculated volume in Å³ per cell: 55.0
Total moment in μB/atom: 0.000


No. 15
# HfAgB

A relaxed structure of HfAgB (PBE, Alexandria).

Cell lengths 4.1095, 4.1095, 6.0853 Å; angles 90.00, 90.00, 90.00 degrees
Positions (direct):
Hf1 0.2500 0.2500 0.1537
Hf2 0.7500 0.7500 0.8463
Ag1 0.2500 0.2500 0.6287
Ag2 0.7500 0.7500 0.3713
B1 0.2500 0.7500 0.0000
B2 0.7500 0.2500 0.0000

ΔH_f (0 K) in meV/atom: 262
DOS(E_F) in states/eV/atom: 0.36
Symmetry: No. 129
Calculated volume in Å³ per cell: 102.8
Total moment in μB/atom: 0.000


No. 16
# HfAgB2

A relaxed structure of HfAgB2 (PBE, Alexandria).

Cell lengths 4.1590, 4.1590, 4.1590 Å; angles 60.00, 60.00, 60.00 degrees
Positions (direct):
Hf1 0.0000 0.0000 0.0000
Ag1 0.5000 0.5000 0.5000
B1 0.2500 0.2500 0.2500
B2 0.7500 0.7500 0.7500

ΔH_f (0 K) in meV/atom: 618
DOS(E_F) in states/eV/atom: 0.59
Symmetry: No. 225
Calculated volume in Å³ per cell: 50.9
Total moment in μB/atom: 0.000


No. 17
# HfAgB

A relaxed structure of HfAgB (PBE, Alexandria).

Cell lengths 3.1479, 3.1479, 10.4649 Å; angles 90.00, 90.00, 120.00 degrees
Positions (direct):
Hf1 0.0000 0.0000 0.1620
Hf2 0.0000 0.0000 0.8380
Ag1 0.3333 0.6667 0.6113
Ag2 0.6667 0.3333 0.3887
B1 0.3333 0.6667 0.0012
B2 0.6667 0.3333 0.9988

ΔH_f (0 K) in meV/atom: -477
DOS(E_F) in states/eV/atom: 0.24
Symmetry: No. 164
Calculated volume in Å³ per cell: 89.8
Total moment in μB/atom: 0.000


No. 18
# HfAgB

A relaxed structure of HfAgB (PBE, Alexandria).

Cell lengths 10.6671, 10.6671, 10.6671 Å; angles 16.94, 16.94, 16.94 degrees
Positions (direct):
Hf1 0.0000 0.0000 0.0000
Hf2 0.1077 0.1077 0.1077
Ag1 0.2579 0.2579 0.2579
Ag2 0.5168 0.5168 0.5168
B1 0.3872 0.3872 0.3872
B2 0.7205 0.7205 0.7205

ΔH_f (0 K) in meV/atom: -471
DOS(E_F) in states/eV/atom: 0.24
Symmetry: No. 160
Calculated volume in Å³ per cell: 89.9
Total moment in μB/atom: 0.000


No. 19
# HfAgB

A relaxed structure of HfAgB (PBE, Alexandria).

Cell lengths 10.7202, 10.7202, 10.7202 Å; angles 16.83, 16.83, 16.83 degrees
Positions (direct):
Hf1 0.0534 0.0534 0.0534
Hf2 0.9466 0.9466 0.9466
Ag1 0.2040 0.2040 0.2040
Ag2 0.7960 0.7960 0.7960
B1 0.3338 0.3338 0.3338
B2 0.6662 0.6662 0.6662

ΔH_f (0 K) in meV/atom: -469
DOS(E_F) in states/eV/atom: 0.58
Symmetry: No. 166
Calculated volume in Å³ per cell: 90.1
Total moment in μB/atom: 0.000


No. 20
# HfAgB

A relaxed structure of HfAgB (PBE, Alexandria).

Cell lengths 5.6287, 5.7875, 5.7008 Å; angles 90.00, 90.00, 90.00 degrees
Positions (direct):
Hf1 0.1686 0.2500 0.1765
Hf2 0.3314 0.7500 0.6765
Hf3 0.6686 0.2500 0.3235
Hf4 0.8314 0.7500 0.8235
Ag1 0.2225 0.7500 0.1804
Ag2 0.2775 0.2500 0.6804
Ag3 0.7225 0.7500 0.3196
Ag4 0.7775 0.2500 0.8196
B1 0.0000 0.0000 0.5000
B2 0.0000 0.5000 0.5000
B3 0.5000 0.0000 0.0000
B4 0.5000 0.5000 0.0000

ΔH_f (0 K) in meV/atom: 310
DOS(E_F) in states/eV/atom: 0.38
Symmetry: No. 62
Calculated volume in Å³ per cell: 185.7
Total moment in μB/atom: 0.000


No. 21
# HfAgB

A relaxed structure of HfAgB (PBE, Alexandria).

Cell lengths 3.1760, 4.8488, 6.1292 Å; angles 100.06, 104.93, 90.07 degrees
Positions (direct):
Hf1 0.1518 0.3325 0.3023
Hf2 0.8482 0.6675 0.6977
Ag1 0.4340 0.2217 0.8687
Ag2 0.5660 0.7783 0.1313
B1 0.2483 0.9248 0.4966
B2 0.7517 0.0752 0.5034

ΔH_f (0 K) in meV/atom: -188
DOS(E_F) in states/eV/atom: 0.64
Symmetry: No. 2
Calculated volume in Å³ per cell: 89.7
Total moment in μB/atom: 0.000


No. 22
# Hf2Ag2B

A relaxed structure of Hf2Ag2B (PBE, Alexandria).

Cell lengths 7.4472, 7.4472, 7.4472 Å; angles 149.44, 149.44, 43.77 degrees
Positions (direct):
Hf1 0.2500 0.7500 0.5000
Hf2 0.7500 0.2500 0.5000
Ag1 0.0947 0.0947 0.0000
Ag2 0.9053 0.9053 0.0000
B1 0.5000 0.5000 0.0000

ΔH_f (0 K) in meV/atom: 1295
DOS(E_F) in states/eV/atom: 0.75
Symmetry: No. 139
Calculated volume in Å³ per cell: 106.5
Total moment in μB/atom: 0.000


No. 23
# HfAg3B

A relaxed structure of HfAg3B (PBE, Alexandria).

Cell lengths 4.3867, 4.3867, 4.3867 Å; angles 90.00, 90.00, 90.00 degrees
Positions (direct):
Hf1 0.0000 0.0000 0.0000
Ag1 0.0000 0.5000 0.5000
Ag2 0.5000 0.0000 0.5000
Ag3 0.5000 0.5000 0.0000
B1 0.5000 0.5000 0.5000

ΔH_f (0 K) in meV/atom: 521
DOS(E_F) in states/eV/atom: 0.75
Symmetry: No. 221
Calculated volume in Å³ per cell: 84.4
Total moment in μB/atom: 0.000


No. 24
# HfAgB

A relaxed structure of HfAgB (PBE, Alexandria).

Cell lengths 4.0505, 4.0505, 4.0505 Å; angles 60.00, 60.00, 60.00 degrees
Positions (direct):
Hf1 0.0000 0.0000 0.0000
Ag1 0.5000 0.5000 0.5000
B1 0.2500 0.2500 0.2500

ΔH_f (0 K) in meV/atom: 27
DOS(E_F) in states/eV/atom: 0.00
Symmetry: No. 216
Calculated volume in Å³ per cell: 47.0
Total moment in μB/atom: 0.000


No. 25
# HfAgB

A relaxed structure of HfAgB (PBE, Alexandria).

Cell lengths 3.4260, 4.6600, 6.3916 Å; angles 89.94, 89.96, 68.54 degrees
Positions (direct):
Hf1 0.0000 0.0000 0.0000
Hf2 0.2889 0.4199 0.3149
Ag1 0.0046 0.9850 0.5252
Ag2 0.7203 0.5538 0.7234
B1 0.5674 0.8643 0.2401
B2 0.7151 0.5685 0.0801

ΔH_f (0 K) in meV/atom: -145
DOS(E_F) in states/eV/atom: 0.52
Symmetry: No. 1
Calculated volume in Å³ per cell: 95.0
Total moment in μB/atom: 0.000


No. 26
# HfAgB

A relaxed structure of HfAgB (PBE, Alexandria).

Cell lengths 3.6955, 3.6955, 9.2796 Å; angles 90.00, 90.00, 120.00 degrees
Positions (direct):
Hf1 0.0000 0.0000 0.0000
Hf2 0.0000 0.0000 0.5000
Ag1 0.3333 0.6667 0.2500
Ag2 0.6667 0.3333 0.7500
B1 0.0000 0.0000 0.2500
B2 0.0000 0.0000 0.7500

ΔH_f (0 K) in meV/atom: 722
DOS(E_F) in states/eV/atom: 0.84
Symmetry: No. 194
Calculated volume in Å³ per cell: 109.7
Total moment in μB/atom: 0.000